(1)
# LiP2SF, relaxed, DFT PBE
data_LiP2SF
_cell_length_a 4.108
_cell_length_b 4.108
_cell_length_c 5.200
_cell_angle_alpha 90.00
_cell_angle_beta 90.00
_cell_angle_gamma 90.00
_symmetry_space_group_name_H-M 'P 4/m m m'
_symmetry_Int_Tables_number 123
_symmetry_space_group_name_Hall '-P 4 2'
loop_
_atom_site_label
_atom_site_type_symbol
_atom_site_fract_x
_atom_site_fract_y
_atom_site_fract_z
Li1 Li 0.000 0.000 0.000
P1 P 0.000 0.500 0.500
S1 S 0.500 0.500 0.000
F1 F 0.500 0.500 0.500
# Relative energy among the computed polymorphs   0 meV per atom
# E_form (uncorrected)   1.8 eV/f.u.


(2)
# BaNa2Pu2O7, relaxed, DFT PBE
data_BaNa2Pu2O7
_cell_length_a 4.354
_cell_length_b 4.354
_cell_length_c 20.017
_cell_angle_alpha 90.00
_cell_angle_beta 90.00
_cell_angle_gamma 90.00
_symmetry_space_group_name_H-M 'I 4/m m m'
_symmetry_Int_Tables_number 139
_symmetry_space_group_name_Hall '-I 4 2'
loop_
_atom_site_label
_atom_site_type_symbol
_atom_site_fract_x
_atom_site_fract_y
_atom_site_fract_z
Ba1 Ba 0.000 0.000 0.000
Na1 Na 0.000 0.500 0.250
Pu1 Pu 0.000 0.000 0.392
O1 O 0.000 0.000 0.292
O2 O 0.000 0.000 0.500
O3 O 0.000 0.500 0.099
# E_form (uncorrected)   -31.1 eV/f.u.


(3)
# HfTlH, relaxed, DFT PBE
data_HfTlH
_cell_length_a 6.008
_cell_length_b 3.387
_cell_length_c 10.830
_cell_angle_alpha 90.00
_cell_angle_beta 90.00
_cell_angle_gamma 90.00
_symmetry_space_group_name_H-M 'P n m a'
_symmetry_Int_Tables_number 62
loop_
_symmetry_equiv_pos_as_xyz
'x,y,z'
'-x,-y,-z'
'-x+1/2,-y,z+1/2'
'x+1/2,y,-z+1/2'
'x+1/2,-y+1/2,-z+1/2'
'-x+1/2,y+1/2,z+1/2'
'-x,y+1/2,-z'
'x,-y+1/2,z'
loop_
_atom_site_label
_atom_site_type_symbol
_atom_site_fract_x
_atom_site_fract_y
_atom_site_fract_z
Hf1 Hf 0.133 0.250 0.110
Tl1 Tl 0.137 0.250 0.393
H1 H 0.142 0.750 0.192
# Relative energy among the computed polymorphs   333 meV per atom


(4)
Compound: TlAgH
Source: Alexandria
Functional: PBE
Structure: relaxed

Geometry as CIF:
```
data_TlAgH
_cell_length_a 3.033
_cell_length_b 24.210
_cell_length_c 2.935
_cell_angle_alpha 90.00
_cell_angle_beta 90.00
_cell_angle_gamma 90.00
_symmetry_space_group_name_H-M 'C m c m'
_symmetry_Int_Tables_number 63
_symmetry_space_group_name_Hall '-C 2c 2'
loop_
_atom_site_label
_atom_site_type_symbol
_atom_site_fract_x
_atom_site_fract_y
_atom_site_fract_z
Tl1 Tl 0.000 0.187 0.250
Ag1 Ag 0.000 0.441 0.750
H1 H 0.000 0.059 0.750
```


(5)
# NdSmTmSc, relaxed, DFT PBE
data_NdSmTmSc
_cell_length_a 7.904
_cell_length_b 7.904
_cell_length_c 7.904
_cell_angle_alpha 90.00
_cell_angle_beta 90.00
_cell_angle_gamma 90.00
_symmetry_space_group_name_H-M 'F -4 3 m'
_symmetry_Int_Tables_number 216
_symmetry_space_group_name_Hall 'F -4 2 3'
loop_
_atom_site_label
_atom_site_type_symbol
_atom_site_fract_x
_atom_site_fract_y
_atom_site_fract_z
Nd1 Nd 0.000 0.000 0.000
Sm1 Sm 0.000 0.000 0.500
Tm1 Tm 0.250 0.250 0.750
Sc1 Sc 0.250 0.250 0.250
# E_form   0.093 eV per atom
# Relative energy among the computed polymorphs   0 meV per atom


(6)
# DyLuBeRu, relaxed, DFT PBE
data_DyLuBeRu
_cell_length_a 6.753
_cell_length_b 6.753
_cell_length_c 6.753
_cell_angle_alpha 90.00
_cell_angle_beta 90.00
_cell_angle_gamma 90.00
_symmetry_space_group_name_H-M 'F -4 3 m'
_symmetry_Int_Tables_number 216
_symmetry_space_group_name_Hall 'F -4 2 3'
loop_
_atom_site_label
_atom_site_type_symbol
_atom_site_fract_x
_atom_site_fract_y
_atom_site_fract_z
Dy1 Dy 0.000 0.000 0.000
Lu1 Lu 0.000 0.000 0.500
Be1 Be 0.250 0.250 0.250
Ru1 Ru 0.250 0.250 0.750
# E_form   -0.191 eV per atom


(7)
# KLiPbO2, relaxed, DFT PBE
data_KLiPbO2
_cell_length_a 4.651
_cell_length_b 4.651
_cell_length_c 4.933
_cell_angle_alpha 90.00
_cell_angle_beta 90.00
_cell_angle_gamma 90.00
_symmetry_space_group_name_H-M 'P 4/m m m'
_symmetry_Int_Tables_number 123
_symmetry_space_group_name_Hall '-P 4 2'
loop_
_atom_site_label
_atom_site_type_symbol
_atom_site_fract_x
_atom_site_fract_y
_atom_site_fract_z
K1 K 0.000 0.000 0.000
Li1 Li 0.500 0.500 0.000
Pb1 Pb 0.500 0.500 0.500
O1 O 0.000 0.500 0.500
# E_form (uncorrected)   -2.0 eV/f.u.


(8)
# MgFeTc2, relaxed, DFT PBE
data_MgFeTc2
_cell_length_a 2.7411
_cell_length_b 2.7411
_cell_length_c 26.7461
_cell_angle_alpha 90.00
_cell_angle_beta 90.00
_cell_angle_gamma 120.00
_symmetry_space_group_name_H-M 'R -3 m'
_symmetry_Int_Tables_number 166
_symmetry_space_group_name_Hall '-R 3 2"'
loop_
_atom_site_label
_atom_site_type_symbol
_atom_site_fract_x
_atom_site_fract_y
_atom_site_fract_z
Mg1 Mg 0.0000 0.0000 0.0000
Fe1 Fe 0.0000 0.0000 0.5000
Tc1 Tc 0.0000 0.0000 0.2428
# E_form   0.246 eV per atom


(9)
# CrS2, relaxed, DFT PBE
data_CrS2
_cell_length_a 6.866
_cell_length_b 4.222
_cell_length_c 3.997
_cell_angle_alpha 90.00
_cell_angle_beta 122.06
_cell_angle_gamma 90.00
_symmetry_space_group_name_H-M 'C 1 2/m 1'
_symmetry_Int_Tables_number 12
loop_
_symmetry_equiv_pos_as_xyz
'x,y,z'
'-x,-y,-z'
'-x,y,-z'
'x,-y,z'
'x+1/2,y+1/2,z'
'-x+1/2,-y+1/2,-z'
'-x+1/2,y+1/2,-z'
'x+1/2,-y+1/2,z'
loop_
_atom_site_label
_atom_site_type_symbol
_atom_site_fract_x
_atom_site_fract_y
_atom_site_fract_z
Cr1 Cr 0.000 0.000 0.000
S1 S 0.245 0.500 0.254
# E_form (uncorrected)   -0.8 eV/f.u.


(10)
# LiPrDy2, relaxed, DFT PBE
data_LiPrDy2
_cell_length_a 3.5436
_cell_length_b 3.5436
_cell_length_c 34.0224
_cell_angle_alpha 90.00
_cell_angle_beta 90.00
_cell_angle_gamma 120.00
_symmetry_space_group_name_H-M 'R 3 m'
_symmetry_Int_Tables_number 160
_symmetry_space_group_name_Hall 'R 3 -2"'
loop_
_atom_site_label
_atom_site_type_symbol
_atom_site_fract_x
_atom_site_fract_y
_atom_site_fract_z
Li1 Li 0.0000 0.0000 0.0000
Pr1 Pr 0.0000 0.0000 0.8333
Dy1 Dy 0.0000 0.0000 0.4125
Dy2 Dy 0.0000 0.0000 0.5878
# E_form   0.126 eV per atom
# Relative energy among the computed polymorphs   48 meV per atom


(11)
# NaGa5Au3, relaxed, DFT PBE
data_NaGa5Au3
_cell_length_a 4.160
_cell_length_b 13.344
_cell_length_c 13.593
_cell_angle_alpha 90.00
_cell_angle_beta 90.00
_cell_angle_gamma 90.00
_symmetry_space_group_name_H-M 'C m c m'
_symmetry_Int_Tables_number 63
_symmetry_space_group_name_Hall '-C 2c 2'
loop_
_atom_site_label
_atom_site_type_symbol
_atom_site_fract_x
_atom_site_fract_y
_atom_site_fract_z
Na1 Na 0.000 0.159 0.250
Ga1 Ga 0.000 0.000 0.000
Ga2 Ga 0.000 0.191 0.565
Ga3 Ga 0.000 0.447 0.151
Au1 Au 0.000 0.129 0.750
Au2 Au 0.000 0.381 0.560
# E_form   -0.196 eV per atom


(12)
# Ga2SnGe2, relaxed, DFT PBE
data_Ga2SnGe2
_cell_length_a 8.110
_cell_length_b 8.110
_cell_length_c 3.155
_cell_angle_alpha 90.00
_cell_angle_beta 90.00
_cell_angle_gamma 90.00
_symmetry_space_group_name_H-M 'P 4/m b m'
_symmetry_Int_Tables_number 127
_symmetry_space_group_name_Hall '-P 4 2ab'
loop_
_atom_site_label
_atom_site_type_symbol
_atom_site_fract_x
_atom_site_fract_y
_atom_site_fract_z
Ga1 Ga 0.145 0.355 0.000
Sn1 Sn 0.000 0.000 0.000
Ge1 Ge 0.149 0.649 0.500
# E_form   0.137 eV per atom
# Relative energy among the computed polymorphs   6 meV per atom


(13)
# PrEr6In3, relaxed, DFT PBE
data_PrEr6In3
_cell_length_a 12.785
_cell_length_b 12.611
_cell_length_c 7.505
_cell_angle_alpha 90.00
_cell_angle_beta 90.00
_cell_angle_gamma 90.00
_symmetry_space_group_name_H-M 'C m c 21'
_symmetry_Int_Tables_number 36
loop_
_symmetry_equiv_pos_as_xyz
'x,y,z'
'-x,-y,z+1/2'
'-x,y,z'
'x,-y,z+1/2'
'x+1/2,y+1/2,z'
'-x+1/2,-y+1/2,z+1/2'
'-x+1/2,y+1/2,z'
'x+1/2,-y+1/2,z+1/2'
loop_
_atom_site_label
_atom_site_type_symbol
_atom_site_fract_x
_atom_site_fract_y
_atom_site_fract_z
Pr1 Pr 0.000 0.226 0.000
Er1 Er 0.000 0.207 0.473
Er2 Er 0.000 0.471 0.607
Er3 Er 0.202 0.031 0.515
Er4 Er 0.211 0.297 0.698
In1 In 0.000 0.008 0.748
In2 In 0.146 0.384 0.311
# E_form   -0.156 eV per atom


(14)
# TiCr2Ga, relaxed, DFT PBE
data_TiCr2Ga
_cell_length_a 3.648
_cell_length_b 3.648
_cell_length_c 4.040
_cell_angle_alpha 90.00
_cell_angle_beta 90.00
_cell_angle_gamma 90.00
_symmetry_space_group_name_H-M 'P 4/m m m'
_symmetry_Int_Tables_number 123
_symmetry_space_group_name_Hall '-P 4 2'
loop_
_atom_site_label
_atom_site_type_symbol
_atom_site_fract_x
_atom_site_fract_y
_atom_site_fract_z
Ti1 Ti 0.000 0.000 0.000
Cr1 Cr 0.000 0.500 0.500
Ga1 Ga 0.500 0.500 0.000
# E_form   -0.024 eV per atom


(15)
# TaTi2Se, relaxed, DFT PBE
data_TaTi2Se
_cell_length_a 3.1847
_cell_length_b 3.1847
_cell_length_c 24.4091
_cell_angle_alpha 90.00
_cell_angle_beta 90.00
_cell_angle_gamma 120.00
_symmetry_space_group_name_H-M 'R 3 m'
_symmetry_Int_Tables_number 160
_symmetry_space_group_name_Hall 'R 3 -2"'
loop_
_atom_site_label
_atom_site_type_symbol
_atom_site_fract_x
_atom_site_fract_y
_atom_site_fract_z
Ta1 Ta 0.0000 0.0000 0.0000
Ti1 Ti 0.0000 0.0000 0.2435
Ti2 Ti 0.0000 0.0000 0.4231
Se1 Se 0.0000 0.0000 0.8317
# E_form (uncorrected)   -1.1 eV/f.u.


(16)
# Sc2TaNb, relaxed, DFT PBE
data_Sc2TaNb
_cell_length_a 3.0138
_cell_length_b 3.0138
_cell_length_c 31.7807
_cell_angle_alpha 90.00
_cell_angle_beta 90.00
_cell_angle_gamma 120.00
_symmetry_space_group_name_H-M 'R -3 m'
_symmetry_Int_Tables_number 166
_symmetry_space_group_name_Hall '-R 3 2"'
loop_
_atom_site_label
_atom_site_type_symbol
_atom_site_fract_x
_atom_site_fract_y
_atom_site_fract_z
Sc1 Sc 0.0000 0.0000 0.0895
Ta1 Ta 0.0000 0.0000 0.5000
Nb1 Nb 0.0000 0.0000 0.0000
# E_form   0.390 eV per atom
# Relative energy among the computed polymorphs   0 meV per atom


(17)
# PmYSi2Pt5, relaxed, DFT PBE
data_PmYSi2Pt5
_cell_length_a 4.226
_cell_length_b 4.226
_cell_length_c 8.998
_cell_angle_alpha 90.00
_cell_angle_beta 90.00
_cell_angle_gamma 90.00
_symmetry_space_group_name_H-M 'P 4/m m m'
_symmetry_Int_Tables_number 123
_symmetry_space_group_name_Hall '-P 4 2'
loop_
_atom_site_label
_atom_site_type_symbol
_atom_site_fract_x
_atom_site_fract_y
_atom_site_fract_z
Pm1 Pm 0.000 0.000 0.000
Y1 Y 0.000 0.000 0.500
Si1 Si 0.500 0.500 0.369
Pt1 Pt 0.000 0.500 0.239
Pt2 Pt 0.500 0.500 0.000
# E_form (uncorrected)   -9.5 eV/f.u.


Computed values of total DFT energy (no corrections) (unit: eV per atom) for the preceding records, in sequence: -3.39, -8.26, -5.12, -2.54, -4.98, -5.72, -3.73, -7.45, -6.22, -3.85, -3.12, -3.72, -4.19, -7.57, -8.06, -8.26, -6.87.
Computed values of magnetization (unit: μB/cell) for the preceding records, in sequence: 0.0, 12.0, 0.0, 0.0, 0.0, 0.0, 0.0, 4.3, 4.8, 0.0, 0.0, 0.0, 0.0, 0.0, 0.0, 0.1, 0.0.